(1)
A geometry-optimized UCdIr structure, computed with PBE.

Summary:
Its total energy is -6.37 eV/atom.

Cell lengths 4.7209, 4.7209, 4.7209 Å; angles 60.00, 60.00, 60.00 degrees
Last column: nearest neighbours and their distance in Å.
Element x y z (fractional)
U 0.0000 0.0000 0.0000  4 Cd 2.89, 4 Ir 2.89
Cd 0.7500 0.7500 0.7500  4 U 2.89
Ir 0.2500 0.2500 0.2500  4 U 2.89

---

(2)
A geometry-optimized TmMgNO structure, computed with PBE.

Summary:
Its total energy is -6.98 eV/atom. The value obtained for the energy above the most stable polymorph in this dataset is 0.01 eV per formula unit.

Cell lengths 5.9329, 7.5883, 4.8211 Å; angles 90.00, 90.00, 90.00 degrees
Last column: nearest neighbours and their distance in Å.
Element x y z (fractional)
Tm 0.0605 0.1401 0.0000  1 O 2.18, 3 N 2.22-2.35
Tm 0.4395 0.1401 0.5000  1 O 2.18, 3 N 2.22-2.35
Tm 0.5605 0.8599 0.0000  1 O 2.18, 3 N 2.22-2.35
Tm 0.9395 0.8599 0.5000  1 O 2.18, 3 N 2.22-2.35
Mg 0.0801 0.6122 0.9739  3 O 1.96-2.04, 1 N 2.08
Mg 0.4199 0.6122 0.4739  3 O 1.96-2.04, 1 N 2.08
Mg 0.5801 0.3878 0.9739  3 O 1.96-2.04, 1 N 2.08
Mg 0.9199 0.3878 0.4739  3 O 1.96-2.04, 1 N 2.08
N 0.0646 0.1400 0.5132  1 Mg 2.08, 2 Tm 2.22-2.25
N 0.4354 0.1400 0.0132  1 Mg 2.08, 2 Tm 2.22-2.25
N 0.5646 0.8600 0.5132  1 Mg 2.08, 2 Tm 2.22-2.25
N 0.9354 0.8600 0.0132  1 Mg 2.08, 2 Tm 2.22-2.25
O 0.0943 0.6010 0.5519  3 Mg 1.96-2.04, 1 Tm 2.18
O 0.4057 0.6010 0.0519  3 Mg 1.96-2.04, 1 Tm 2.18
O 0.5943 0.3990 0.5519  3 Mg 1.96-2.04, 1 Tm 2.18
O 0.9057 0.3990 0.0519  3 Mg 1.96-2.04, 1 Tm 2.18

---

(3)
A geometry-optimized YCu12 structure, computed with PBE.

Summary:
Its total energy is -4.00 eV/atom.

Cell lengths 6.4192, 6.4192, 6.4192 Å; angles 97.97, 97.97, 136.27 degrees
Last column: nearest neighbours and their distance in Å.
Element x y z (fractional)
Y 0.0000 0.0000 0.0000  20 Cu 2.99-3.21
Cu 0.0000 0.0000 0.5000  10 Cu 2.39-2.58
Cu 0.0000 0.3553 0.3553  9 Cu 2.44-2.64
Cu 0.0000 0.5000 0.0000  10 Cu 2.39-2.58
Cu 0.0000 0.6447 0.6447  9 Cu 2.44-2.64
Cu 0.2777 0.5000 0.7777  10 Cu 2.43-2.65
Cu 0.3553 0.0000 0.3553  9 Cu 2.44-2.64
Cu 0.5000 0.0000 0.0000  10 Cu 2.39-2.58
Cu 0.5000 0.2777 0.7777  10 Cu 2.43-2.65
Cu 0.5000 0.5000 0.5000  10 Cu 2.39-2.58
Cu 0.5000 0.7223 0.2223  10 Cu 2.43-2.65
Cu 0.6447 0.0000 0.6447  9 Cu 2.44-2.64
Cu 0.7223 0.5000 0.2223  10 Cu 2.43-2.65

---

(4)
A geometry-optimized PrCd20Pd2 structure, computed with PBE.

Summary:
Its total energy is -1.64 eV/atom.

Cell lengths 11.1450, 11.1450, 11.1450 Å; angles 60.00, 60.00, 60.00 degrees
Last column: nearest neighbours and their distance in Å.
Element x y z (fractional)
Pr 0.1250 0.1250 0.1250  16 Cd 3.41-3.44
Pr 0.8750 0.8750 0.8750  16 Cd 3.41-3.44
Cd 0.0000 0.0000 0.0000  12 Cd 3.34, 2 Pr 3.41
Cd 0.0000 0.0000 0.5000  12 Cd 3.34, 2 Pr 3.41
Cd 0.0000 0.5000 0.0000  12 Cd 3.34, 2 Pr 3.41
Cd 0.0565 0.3229 0.3229  8 Cd 2.89-3.22, 1 Pd 3.10
Cd 0.0565 0.3229 0.7976  8 Cd 2.89-3.22, 1 Pd 3.10
Cd 0.0565 0.7976 0.3229  8 Cd 2.89-3.22, 1 Pd 3.10
Cd 0.2024 0.6771 0.6771  8 Cd 2.89-3.22, 1 Pd 3.10
Cd 0.2024 0.6771 0.9435  8 Cd 2.89-3.22, 1 Pd 3.10
Cd 0.2024 0.9435 0.6771  8 Cd 2.89-3.22, 1 Pd 3.10
Cd 0.2374 0.2374 0.5126  2 Pd 2.79, 10 Cd 2.97-3.13
Cd 0.2374 0.5126 0.2374  2 Pd 2.79, 10 Cd 2.97-3.13
Cd 0.2374 0.5126 0.5126  2 Pd 2.79, 10 Cd 2.97-3.13
Cd 0.3229 0.0565 0.3229  8 Cd 2.89-3.22, 1 Pd 3.10
Cd 0.3229 0.0565 0.7976  8 Cd 2.89-3.22, 1 Pd 3.10
Cd 0.3229 0.3229 0.0565  8 Cd 2.89-3.22, 1 Pd 3.10
Cd 0.3229 0.3229 0.7976  8 Cd 2.89-3.22, 1 Pd 3.10
Cd 0.3229 0.7976 0.0565  8 Cd 2.89-3.22, 1 Pd 3.10
Cd 0.3229 0.7976 0.3229  8 Cd 2.89-3.22, 1 Pd 3.10
Cd 0.4874 0.4874 0.7626  2 Pd 2.79, 10 Cd 2.97-3.13
Cd 0.4874 0.7626 0.4874  2 Pd 2.79, 10 Cd 2.97-3.13
Cd 0.4874 0.7626 0.7626  2 Pd 2.79, 10 Cd 2.97-3.13
Cd 0.5000 0.0000 0.0000  12 Cd 3.34, 2 Pr 3.41
Cd 0.5126 0.2374 0.2374  2 Pd 2.79, 10 Cd 2.97-3.13
Cd 0.5126 0.2374 0.5126  2 Pd 2.79, 10 Cd 2.97-3.13
Cd 0.5126 0.5126 0.2374  2 Pd 2.79, 10 Cd 2.97-3.13
Cd 0.6771 0.2024 0.6771  8 Cd 2.89-3.22, 1 Pd 3.10
Cd 0.6771 0.2024 0.9435  8 Cd 2.89-3.22, 1 Pd 3.10
Cd 0.6771 0.6771 0.2024  8 Cd 2.89-3.22, 1 Pd 3.10
Cd 0.6771 0.6771 0.9435  8 Cd 2.89-3.22, 1 Pd 3.10
Cd 0.6771 0.9435 0.2024  8 Cd 2.89-3.22, 1 Pd 3.10
Cd 0.6771 0.9435 0.6771  8 Cd 2.89-3.22, 1 Pd 3.10
Cd 0.7626 0.4874 0.4874  2 Pd 2.79, 10 Cd 2.97-3.13
Cd 0.7626 0.4874 0.7626  2 Pd 2.79, 10 Cd 2.97-3.13
Cd 0.7626 0.7626 0.4874  2 Pd 2.79, 10 Cd 2.97-3.13
Cd 0.7976 0.0565 0.3229  8 Cd 2.89-3.22, 1 Pd 3.10
Cd 0.7976 0.3229 0.0565  8 Cd 2.89-3.22, 1 Pd 3.10
Cd 0.7976 0.3229 0.3229  8 Cd 2.89-3.22, 1 Pd 3.10
Cd 0.9435 0.2024 0.6771  8 Cd 2.89-3.22, 1 Pd 3.10
Cd 0.9435 0.6771 0.2024  8 Cd 2.89-3.22, 1 Pd 3.10
Cd 0.9435 0.6771 0.6771  8 Cd 2.89-3.22, 1 Pd 3.10
Pd 0.0000 0.5000 0.5000  12 Cd 2.79-3.10
Pd 0.5000 0.0000 0.5000  12 Cd 2.79-3.10
Pd 0.5000 0.5000 0.0000  12 Cd 2.79-3.10
Pd 0.5000 0.5000 0.5000  12 Cd 2.79-3.10

---

(5)
A geometry-optimized ErCuSnTe3 structure, computed with PBE.

Summary:
Its total energy is -4.23 eV/atom. The value obtained for the energy above the most stable polymorph in this dataset is 0.25 eV per formula unit.

Cell lengths 12.3376, 4.3586, 12.2921 Å; angles 90.00, 90.00, 90.00 degrees
Last column: nearest neighbours and their distance in Å.
Element x y z (fractional)
Er 0.0313 0.2500 0.1909  7 Te 3.09-3.41
Er 0.4687 0.7500 0.6909  7 Te 3.09-3.41
Er 0.5313 0.2500 0.3091  7 Te 3.09-3.41
Er 0.9687 0.7500 0.8091  7 Te 3.09-3.41
Cu 0.2320 0.7500 0.2989  4 Te 2.61-2.70
Cu 0.2680 0.2500 0.7989  4 Te 2.61-2.70
Cu 0.7320 0.7500 0.2011  4 Te 2.61-2.70
Cu 0.7680 0.2500 0.7011  4 Te 2.61-2.70
Sn 0.2012 0.2500 0.4704  2 Cu 3.06, 4 Te 3.26-3.31
Sn 0.2988 0.7500 0.9704  2 Cu 3.06, 4 Te 3.26-3.31
Sn 0.7012 0.2500 0.0296  2 Cu 3.06, 4 Te 3.26-3.31
Sn 0.7988 0.7500 0.5296  2 Cu 3.06, 4 Te 3.26-3.31
Te 0.0325 0.7500 0.3685  1 Cu 2.61
Te 0.0992 0.2500 0.9384  1 Cu 2.70
Te 0.2171 0.7500 0.6875  2 Cu 2.65
Te 0.2829 0.2500 0.1875  2 Cu 2.65
Te 0.4008 0.7500 0.4384  1 Cu 2.70
Te 0.4675 0.2500 0.8685  1 Cu 2.61
Te 0.5325 0.7500 0.1315  1 Cu 2.61
Te 0.5992 0.2500 0.5616  1 Cu 2.70
Te 0.7171 0.7500 0.8125  2 Cu 2.65
Te 0.7829 0.2500 0.3125  2 Cu 2.65
Te 0.9008 0.7500 0.0616  1 Cu 2.70
Te 0.9675 0.2500 0.6315  1 Cu 2.61

---

(6)
A geometry-optimized ZrBiPt structure, computed with PBE.

Summary:
Its total energy is -6.62 eV/atom.

Cell lengths 6.7164, 4.5546, 8.3714 Å; angles 90.00, 90.00, 90.00 degrees
Last column: nearest neighbours and their distance in Å.
Element x y z (fractional)
Zr 0.0025 0.2500 0.2047  5 Bi 3.11-3.19, 5 Pt 3.15-3.18, 2 Zr 3.44
Zr 0.4975 0.7500 0.7047  5 Bi 3.11-3.19, 5 Pt 3.15-3.18, 2 Zr 3.44
Zr 0.5025 0.2500 0.2953  5 Bi 3.11-3.19, 5 Pt 3.15-3.18, 2 Zr 3.44
Zr 0.9975 0.7500 0.7953  5 Bi 3.11-3.19, 5 Pt 3.15-3.18, 2 Zr 3.44
Bi 0.2146 0.7500 0.4104  4 Pt 2.73-2.83
Bi 0.2854 0.2500 0.9104  4 Pt 2.73-2.83
Bi 0.7146 0.7500 0.0896  4 Pt 2.73-2.83
Bi 0.7854 0.2500 0.5896  4 Pt 2.73-2.83
Pt 0.2067 0.2500 0.5903  4 Bi 2.73-2.83
Pt 0.2933 0.7500 0.0903  4 Bi 2.73-2.83
Pt 0.7067 0.2500 0.9097  4 Bi 2.73-2.83
Pt 0.7933 0.7500 0.4097  4 Bi 2.73-2.83

---

(7)
A geometry-optimized TmScNO structure, computed with PBE.

Summary:
Its total energy is -8.32 eV/atom. The value obtained for the energy above the most stable polymorph in this dataset is 0.43 eV per formula unit.

Cell lengths 4.6785, 3.9198, 6.2787 Å; angles 90.00, 90.00, 90.00 degrees
Last column: nearest neighbours and their distance in Å.
Element x y z (fractional)
Tm 0.2500 0.0000 0.1731  2 O 2.24, 3 N 2.29-2.34
Tm 0.7500 0.0000 0.8269  2 O 2.24, 3 N 2.29-2.34
Sc 0.2500 0.5000 0.6826  3 O 2.11-2.35, 2 N 2.11
Sc 0.7500 0.5000 0.3174  3 O 2.11-2.35, 2 N 2.11
N 0.2500 0.0000 0.8078  2 Sc 2.11, 3 Tm 2.29-2.34
N 0.7500 0.0000 0.1922  2 Sc 2.11, 3 Tm 2.29-2.34
O 0.2500 0.5000 0.3466  3 Sc 2.11-2.35, 2 Tm 2.24
O 0.7500 0.5000 0.6534  3 Sc 2.11-2.35, 2 Tm 2.24

---

(8)
A geometry-optimized HgC8 structure, computed with PBE.

Summary:
Its total energy is -8.20 eV/atom. The value obtained for the energy above the most stable polymorph in this dataset is 0.00 eV per formula unit.

Cell lengths 13.6196, 13.1670, 4.9253 Å; angles 84.63, 74.27, 21.10 degrees
Last column: nearest neighbours and their distance in Å.
Element x y z (fractional)
Hg 0.1250 0.1250 0.1250  12 C 3.53
Hg 0.8750 0.8750 0.8750  12 C 3.53
C 0.0833 0.4166 0.3334  3 C 1.42
C 0.0833 0.4167 0.8333  3 C 1.42
C 0.1667 0.8333 0.4167  3 C 1.42
C 0.1667 0.8333 0.9167  3 C 1.42
C 0.3334 0.6667 0.0833  3 C 1.42
C 0.3333 0.6666 0.5834  3 C 1.42
C 0.4167 0.0833 0.1667  3 C 1.42
C 0.4166 0.0833 0.6667  3 C 1.42
C 0.5834 0.9167 0.3333  3 C 1.42
C 0.5833 0.9167 0.8333  3 C 1.42
C 0.6667 0.3334 0.4166  3 C 1.42
C 0.6666 0.3333 0.9167  3 C 1.42
C 0.8333 0.1667 0.0833  3 C 1.42
C 0.8333 0.1667 0.5833  3 C 1.42
C 0.9167 0.5833 0.1667  3 C 1.42
C 0.9167 0.5834 0.6666  3 C 1.42